Version A
# PrDy2Cd, optimized geometry, DFT PBE
data_PrDy2Cd
_space_group_name_H-M_alt 'I m m m'
_space_group_IT_number 71
_space_group_name_Hall '-I 2 2'
_cell_length_a 3.806
_cell_length_b 5.559
_cell_length_c 11.513
_cell_angle_alpha 90.00
_cell_angle_beta 90.00
_cell_angle_gamma 90.00
loop_
_atom_site_label
_atom_site_type_symbol
_atom_site_fract_x
_atom_site_fract_y
_atom_site_fract_z
Pr1 Pr 0.000 0.000 0.000
Dy1 Dy 0.000 0.500 0.224
Cd1 Cd 0.000 0.000 0.500
# **DOS at the Fermi energy**: 8.851 states/eV/cell

Version B
# PrDy2Cd, optimized geometry, DFT PBE
data_PrDy2Cd
_space_group_name_H-M_alt 'F m -3 m'
_space_group_IT_number 225
_space_group_name_Hall '-F 4 2 3'
_cell_length_a 7.776
_cell_length_b 7.776
_cell_length_c 7.776
_cell_angle_alpha 90.00
_cell_angle_beta 90.00
_cell_angle_gamma 90.00
loop_
_atom_site_label
_atom_site_type_symbol
_atom_site_fract_x
_atom_site_fract_y
_atom_site_fract_z
Pr1 Pr 0.000 0.000 0.000
Dy1 Dy 0.250 0.250 0.250
Cd1 Cd 0.000 0.000 0.500
# **DOS at the Fermi energy**: 26.516 states/eV/cell

Version C
# PrDy2Cd, optimized geometry, DFT PBE
data_PrDy2Cd
_space_group_name_H-M_alt 'R 3 m'
_space_group_IT_number 160
_space_group_name_Hall 'R 3 -2"'
_cell_length_a 3.6360
_cell_length_b 3.6360
_cell_length_c 32.5570
_cell_angle_alpha 90.00
_cell_angle_beta 90.00
_cell_angle_gamma 120.00
loop_
_atom_site_label
_atom_site_type_symbol
_atom_site_fract_x
_atom_site_fract_y
_atom_site_fract_z
Pr1 Pr 0.0000 0.0000 0.0000
Dy1 Dy 0.0000 0.0000 0.2420
Dy2 Dy 0.0000 0.0000 0.4246
Cd1 Cd 0.0000 0.0000 0.8335
# **DOS at the Fermi energy**: 13.815 states/eV/cell

Version D
# PrDy2Cd, optimized geometry, DFT PBE
data_PrDy2Cd
_space_group_name_H-M_alt 'P 4/m m m'
_space_group_IT_number 123
_space_group_name_Hall '-P 4 2'
_cell_length_a 4.903
_cell_length_b 4.903
_cell_length_c 4.904
_cell_angle_alpha 90.00
_cell_angle_beta 90.00
_cell_angle_gamma 90.00
loop_
_atom_site_label
_atom_site_type_symbol
_atom_site_fract_x
_atom_site_fract_y
_atom_site_fract_z
Pr1 Pr 0.000 0.000 0.000
Dy1 Dy 0.000 0.500 0.500
Cd1 Cd 0.500 0.500 0.000
# **DOS at the Fermi energy**: 5.762 states/eV/cell

The structure with the most favorable energy is version A; the runner-up is 54 meV per atom above it.

Version A
# PrDy2Cd, optimized geometry, DFT PBE
data_PrDy2Cd
_space_group_name_H-M_alt 'P 4/m m m'
_space_group_IT_number 123
_space_group_name_Hall '-P 4 2'
_cell_length_a 3.672
_cell_length_b 3.672
_cell_length_c 8.923
_cell_angle_alpha 90.00
_cell_angle_beta 90.00
_cell_angle_gamma 90.00
loop_
_atom_site_label
_atom_site_type_symbol
_atom_site_fract_x
_atom_site_fract_y
_atom_site_fract_z
Pr1 Pr 0.000 0.000 0.000
Dy1 Dy 0.500 0.500 0.282
Cd1 Cd 0.000 0.000 0.500
# **DOS at the Fermi energy**: 5.157 states/eV/cell

Version B
# PrDy2Cd, optimized geometry, DFT PBE
data_PrDy2Cd
_space_group_name_H-M_alt 'R -3 m'
_space_group_IT_number 166
_space_group_name_Hall '-R 3 2"'
_cell_length_a 3.6159
_cell_length_b 3.6159
_cell_length_c 32.6167
_cell_angle_alpha 90.00
_cell_angle_beta 90.00
_cell_angle_gamma 120.00
loop_
_atom_site_label
_atom_site_type_symbol
_atom_site_fract_x
_atom_site_fract_y
_atom_site_fract_z
Pr1 Pr 0.0000 0.0000 0.0000
Dy1 Dy 0.0000 0.0000 0.2428
Cd1 Cd 0.0000 0.0000 0.5000
# **DOS at the Fermi energy**: 12.531 states/eV/cell

The structure with the most favorable energy is version A; the runner-up is 67 meV per atom above it.

Version A
# Pr6Dy2Cd, optimized geometry, DFT PBE
data_Pr6Dy2Cd
_space_group_name_H-M_alt 'P 42/m n m'
_space_group_IT_number 136
_space_group_name_Hall '-P 4n 2n'
_cell_length_a 10.665
_cell_length_b 10.665
_cell_length_c 5.317
_cell_angle_alpha 90.00
_cell_angle_beta 90.00
_cell_angle_gamma 90.00
loop_
_atom_site_label
_atom_site_type_symbol
_atom_site_fract_x
_atom_site_fract_y
_atom_site_fract_z
Pr1 Pr 0.021 0.326 0.000
Pr2 Pr 0.141 0.859 0.500
Dy1 Dy 0.192 0.192 0.500
Cd1 Cd 0.000 0.000 0.000
# **DOS at the Fermi energy**: 27.010 states/eV/cell

Version B
# Pr6Dy2Cd, optimized geometry, DFT PBE
data_Pr6Dy2Cd
_space_group_name_H-M_alt 'P -1'
_space_group_IT_number 2
_space_group_name_Hall '-P 1'
_cell_length_a 6.472
_cell_length_b 6.487
_cell_length_c 14.628
_cell_angle_alpha 93.71
_cell_angle_beta 91.57
_cell_angle_gamma 98.49
loop_
_atom_site_label
_atom_site_type_symbol
_atom_site_fract_x
_atom_site_fract_y
_atom_site_fract_z
Pr1 Pr 0.110 0.264 0.471
Pr2 Pr 0.168 0.092 0.923
Pr3 Pr 0.265 0.619 0.001
Pr4 Pr 0.367 0.062 0.163
Pr5 Pr 0.375 0.801 0.394
Pr6 Pr 0.387 0.665 0.631
Dy1 Dy 0.032 0.423 0.221
Dy2 Dy 0.110 0.098 0.697
Cd1 Cd 0.468 0.423 0.808
# **DOS at the Fermi energy**: 21.694 states/eV/cell

The structure with the most favorable energy is version A; the runner-up is 5 meV per atom above it.

Version A
# Pr8DyCd2, optimized geometry, DFT PBE
data_Pr8DyCd2
_space_group_name_H-M_alt 'C 1 2/m 1'
_space_group_IT_number 12
_space_group_name_Hall '-C 2y'
_cell_length_a 14.137
_cell_length_b 11.206
_cell_length_c 5.290
_cell_angle_alpha 90.00
_cell_angle_beta 100.73
_cell_angle_gamma 90.00
loop_
_atom_site_label
_atom_site_type_symbol
_atom_site_fract_x
_atom_site_fract_y
_atom_site_fract_z
Pr1 Pr 0.085 0.000 0.292
Pr2 Pr 0.105 0.239 0.782
Pr3 Pr 0.240 0.500 0.127
Dy1 Dy 0.000 0.500 0.000
Cd1 Cd 0.116 0.500 0.548
# **DOS at the Fermi energy**: 31.479 states/eV/cell

Version B
# Pr8DyCd2, optimized geometry, DFT PBE
data_Pr8DyCd2
_space_group_name_H-M_alt 'C 1 2/m 1'
_space_group_IT_number 12
_space_group_name_Hall '-C 2y'
_cell_length_a 17.265
_cell_length_b 5.440
_cell_length_c 8.566
_cell_angle_alpha 90.00
_cell_angle_beta 114.10
_cell_angle_gamma 90.00
loop_
_atom_site_label
_atom_site_type_symbol
_atom_site_fract_x
_atom_site_fract_y
_atom_site_fract_z
Pr1 Pr 0.052 0.000 0.240
Pr2 Pr 0.103 0.500 0.968
Pr3 Pr 0.148 0.000 0.705
Pr4 Pr 0.187 0.500 0.455
Dy1 Dy 0.000 0.500 0.500
Cd1 Cd 0.222 0.000 0.132
# **DOS at the Fermi energy**: 30.807 states/eV/cell

The structure with the most favorable energy is version B; the runner-up is 329 meV per atom above it.

Version A
# Pr2DyCd2, optimized geometry, DFT PBE
data_Pr2DyCd2
_space_group_name_H-M_alt 'I b a m'
_space_group_IT_number 72
_space_group_name_Hall '-I 2 2c'
_cell_length_a 8.266
_cell_length_b 12.310
_cell_length_c 6.102
_cell_angle_alpha 90.00
_cell_angle_beta 90.00
_cell_angle_gamma 90.00
loop_
_atom_site_label
_atom_site_type_symbol
_atom_site_fract_x
_atom_site_fract_y
_atom_site_fract_z
Pr1 Pr 0.149 0.210 0.000
Dy1 Dy 0.000 0.500 0.250
Cd1 Cd 0.168 0.056 0.500
# **DOS at the Fermi energy**: 28.074 states/eV/cell

Version B
# Pr2DyCd2, optimized geometry, DFT PBE
data_Pr2DyCd2
_space_group_name_H-M_alt 'P 1 21/m 1'
_space_group_IT_number 11
_space_group_name_Hall '-P 2yb'
_cell_length_a 3.786
_cell_length_b 5.431
_cell_length_c 14.436
_cell_angle_alpha 90.00
_cell_angle_beta 97.52
_cell_angle_gamma 90.00
loop_
_atom_site_label
_atom_site_type_symbol
_atom_site_fract_x
_atom_site_fract_y
_atom_site_fract_z
Pr1 Pr 0.044 0.250 0.086
Pr2 Pr 0.233 0.250 0.468
Dy1 Dy 0.150 0.750 0.298
Cd1 Cd 0.362 0.750 0.724
Cd2 Cd 0.441 0.250 0.884
# **DOS at the Fermi energy**: 11.123 states/eV/cell

The structure with the most favorable energy is version B; the runner-up is 202 meV per atom above it.

Version A
# Pr4Dy2Cd, optimized geometry, DFT PBE
data_Pr4Dy2Cd
_space_group_name_H-M_alt 'C 1 2/m 1'
_space_group_IT_number 12
_space_group_name_Hall '-C 2y'
_cell_length_a 16.884
_cell_length_b 3.588
_cell_length_c 8.717
_cell_angle_alpha 90.00
_cell_angle_beta 117.30
_cell_angle_gamma 90.00
loop_
_atom_site_label
_atom_site_type_symbol
_atom_site_fract_x
_atom_site_fract_y
_atom_site_fract_z
Pr1 Pr 0.083 0.000 0.205
Pr2 Pr 0.131 0.500 0.888
Dy1 Dy 0.217 0.000 0.638
Cd1 Cd 0.000 0.000 0.500
# **DOS at the Fermi energy**: 18.621 states/eV/cell

Version B
# Pr4Dy2Cd, optimized geometry, DFT PBE
data_Pr4Dy2Cd
_space_group_name_H-M_alt 'C m m m'
_space_group_IT_number 65
_space_group_name_Hall '-C 2 2'
_cell_length_a 3.660
_cell_length_b 35.156
_cell_length_c 3.623
_cell_angle_alpha 90.00
_cell_angle_beta 90.00
_cell_angle_gamma 90.00
loop_
_atom_site_label
_atom_site_type_symbol
_atom_site_fract_x
_atom_site_fract_y
_atom_site_fract_z
Pr1 Pr 0.000 0.062 0.000
Pr2 Pr 0.000 0.362 0.500
Dy1 Dy 0.000 0.208 0.000
Cd1 Cd 0.000 0.500 0.500
# **DOS at the Fermi energy**: 17.464 states/eV/cell

The structure with the most favorable energy is version B; the runner-up is 35 meV per atom above it.

Version A
# Pr3DyCd2, optimized geometry, DFT PBE
data_Pr3DyCd2
_space_group_name_H-M_alt 'P 1 2/m 1'
_space_group_IT_number 10
_space_group_name_Hall '-P 2y'
_cell_length_a 5.018
_cell_length_b 4.794
_cell_length_c 7.942
_cell_angle_alpha 90.00
_cell_angle_beta 108.34
_cell_angle_gamma 90.00
loop_
_atom_site_label
_atom_site_type_symbol
_atom_site_fract_x
_atom_site_fract_y
_atom_site_fract_z
Pr1 Pr 0.000 0.000 0.000
Pr2 Pr 0.328 0.000 0.655
Dy1 Dy 0.500 0.500 0.000
Cd1 Cd 0.163 0.500 0.326
# **DOS at the Fermi energy**: 7.137 states/eV/cell

Version B
# Pr3DyCd2, optimized geometry, DFT PBE
data_Pr3DyCd2
_space_group_name_H-M_alt 'P 4/m m m'
_space_group_IT_number 123
_space_group_name_Hall '-P 4 2'
_cell_length_a 3.800
_cell_length_b 3.800
_cell_length_c 12.868
_cell_angle_alpha 90.00
_cell_angle_beta 90.00
_cell_angle_gamma 90.00
loop_
_atom_site_label
_atom_site_type_symbol
_atom_site_fract_x
_atom_site_fract_y
_atom_site_fract_z
Pr1 Pr 0.000 0.000 0.000
Pr2 Pr 0.000 0.000 0.310
Dy1 Dy 0.500 0.500 0.500
Cd1 Cd 0.500 0.500 0.157
# **DOS at the Fermi energy**: 7.633 states/eV/cell

The structure with the most favorable energy is version B; the runner-up is 55 meV per atom above it.

Version A
# PrDy3Cd, optimized geometry, DFT PBE
data_PrDy3Cd
_space_group_name_H-M_alt 'C 1 2/c 1'
_space_group_IT_number 15
_space_group_name_Hall '-C 2yc'
_cell_length_a 16.608
_cell_length_b 10.663
_cell_length_c 7.268
_cell_angle_alpha 90.00
_cell_angle_beta 98.78
_cell_angle_gamma 90.00
loop_
_atom_site_label
_atom_site_type_symbol
_atom_site_fract_x
_atom_site_fract_y
_atom_site_fract_z
Pr1 Pr 0.000 0.024 0.250
Pr2 Pr 0.000 0.346 0.750
Dy1 Dy 0.167 0.169 0.075
Dy2 Dy 0.171 0.160 0.601
Dy3 Dy 0.186 0.499 0.613
Cd1 Cd 0.077 0.341 0.330
# **DOS at the Fermi energy**: 55.814 states/eV/cell

Version B
# PrDy3Cd, optimized geometry, DFT PBE
data_PrDy3Cd
_space_group_name_H-M_alt 'C 1 2/m 1'
_space_group_IT_number 12
_space_group_name_Hall '-C 2y'
_cell_length_a 13.068
_cell_length_b 3.709
_cell_length_c 12.659
_cell_angle_alpha 90.00
_cell_angle_beta 93.33
_cell_angle_gamma 90.00
loop_
_atom_site_label
_atom_site_type_symbol
_atom_site_fract_x
_atom_site_fract_y
_atom_site_fract_z
Pr1 Pr 0.234 0.000 0.252
Dy1 Dy 0.036 0.000 0.689
Dy2 Dy 0.134 0.500 0.477
Dy3 Dy 0.145 0.000 0.950
Cd1 Cd 0.051 0.500 0.127
# **DOS at the Fermi energy**: 27.731 states/eV/cell

The structure with the most favorable energy is version B; the runner-up is 115 meV per atom above it.

Version A
# PrDyCd4, optimized geometry, DFT PBE
data_PrDyCd4
_space_group_name_H-M_alt 'P 1 2/m 1'
_space_group_IT_number 10
_space_group_name_Hall '-P 2y'
_cell_length_a 3.456
_cell_length_b 8.738
_cell_length_c 5.043
_cell_angle_alpha 90.00
_cell_angle_beta 90.09
_cell_angle_gamma 90.00
loop_
_atom_site_label
_atom_site_type_symbol
_atom_site_fract_x
_atom_site_fract_y
_atom_site_fract_z
Pr1 Pr 0.000 0.000 0.000
Dy1 Dy 0.000 0.500 0.500
Cd1 Cd 0.500 0.172 0.500
Cd2 Cd 0.500 0.338 0.000
# **DOS at the Fermi energy**: 4.433 states/eV/cell

Version B
# PrDyCd4, optimized geometry, DFT PBE
data_PrDyCd4
_space_group_name_H-M_alt 'F -4 3 m'
_space_group_IT_number 216
_space_group_name_Hall 'F -4 2 3'
_cell_length_a 8.441
_cell_length_b 8.441
_cell_length_c 8.441
_cell_angle_alpha 90.00
_cell_angle_beta 90.00
_cell_angle_gamma 90.00
loop_
_atom_site_label
_atom_site_type_symbol
_atom_site_fract_x
_atom_site_fract_y
_atom_site_fract_z
Pr1 Pr 0.000 0.000 0.000
Dy1 Dy 0.250 0.250 0.250
Cd1 Cd 0.125 0.125 0.625
# **DOS at the Fermi energy**: 14.546 states/eV/cell

The structure with the most favorable energy is version A; the runner-up is 51 meV per atom above it.

Version A
# PrDy2Cd2, optimized geometry, DFT PBE
data_PrDy2Cd2
_space_group_name_H-M_alt 'P 1 21/m 1'
_space_group_IT_number 11
_space_group_name_Hall '-P 2yb'
_cell_length_a 3.764
_cell_length_b 5.455
_cell_length_c 13.994
_cell_angle_alpha 90.00
_cell_angle_beta 97.75
_cell_angle_gamma 90.00
loop_
_atom_site_label
_atom_site_type_symbol
_atom_site_fract_x
_atom_site_fract_y
_atom_site_fract_z
Pr1 Pr 0.149 0.250 0.296
Dy1 Dy 0.047 0.750 0.094
Dy2 Dy 0.236 0.750 0.473
Cd1 Cd 0.358 0.250 0.716
Cd2 Cd 0.452 0.750 0.906
# **DOS at the Fermi energy**: 10.837 states/eV/cell

Version B
# PrDy2Cd2, optimized geometry, DFT PBE
data_PrDy2Cd2
_space_group_name_H-M_alt 'C 1 2/m 1'
_space_group_IT_number 12
_space_group_name_Hall '-C 2y'
_cell_length_a 6.983
_cell_length_b 6.890
_cell_length_c 7.085
_cell_angle_alpha 90.00
_cell_angle_beta 115.17
_cell_angle_gamma 90.00
loop_
_atom_site_label
_atom_site_type_symbol
_atom_site_fract_x
_atom_site_fract_y
_atom_site_fract_z
Pr1 Pr 0.000 0.000 0.000
Dy1 Dy 0.000 0.250 0.500
Cd1 Cd 0.126 0.500 0.205
# **DOS at the Fermi energy**: 14.765 states/eV/cell

The structure with the most favorable energy is version A; the runner-up is 190 meV per atom above it.

Version A
# Pr6DyCd, optimized geometry, DFT PBE
data_Pr6DyCd
_space_group_name_H-M_alt 'P -1'
_space_group_IT_number 2
_space_group_name_Hall '-P 1'
_cell_length_a 6.616
_cell_length_b 6.629
_cell_length_c 9.198
_cell_angle_alpha 110.72
_cell_angle_beta 90.52
_cell_angle_gamma 119.64
loop_
_atom_site_label
_atom_site_type_symbol
_atom_site_fract_x
_atom_site_fract_y
_atom_site_fract_z
Pr1 Pr 0.040 0.471 0.285
Pr2 Pr 0.177 0.140 0.712
Pr3 Pr 0.439 0.256 0.286
Dy1 Dy 0.500 0.000 0.500
Cd1 Cd 0.000 0.000 0.000
# **DOS at the Fermi energy**: 11.761 states/eV/cell

Version B
# Pr6DyCd, optimized geometry, DFT PBE
data_Pr6DyCd
_space_group_name_H-M_alt 'P 4/m m m'
_space_group_IT_number 123
_space_group_name_Hall '-P 4 2'
_cell_length_a 5.077
_cell_length_b 5.077
_cell_length_c 10.348
_cell_angle_alpha 90.00
_cell_angle_beta 90.00
_cell_angle_gamma 90.00
loop_
_atom_site_label
_atom_site_type_symbol
_atom_site_fract_x
_atom_site_fract_y
_atom_site_fract_z
Pr1 Pr 0.000 0.000 0.000
Pr2 Pr 0.000 0.000 0.500
Pr3 Pr 0.000 0.500 0.245
Dy1 Dy 0.500 0.500 0.500
Cd1 Cd 0.500 0.500 0.000
# **DOS at the Fermi energy**: 9.229 states/eV/cell

The structure with the most favorable energy is version B; the runner-up is 446 meV per atom above it.